No. 1
A relaxed structure of Pm2BeGe5, computed with PBE.

The calculation puts the energy of formation at -0.34 eV/atom.

```
data_Pm2BeGe5
_symmetry_space_group_name_H-M 'I 4 m m'
_symmetry_Int_Tables_number 107
_symmetry_space_group_name_Hall 'I 4 -2'
_cell_length_a 5.903
_cell_length_b 5.903
_cell_length_c 9.495
_cell_angle_alpha 90.00
_cell_angle_beta 90.00
_cell_angle_gamma 90.00
loop_
_atom_site_label
_atom_site_type_symbol
_atom_site_fract_x
_atom_site_fract_y
_atom_site_fract_z
Pm1 Pm 0.000 0.500 0.000
Be1 Be 0.000 0.000 0.390
Ge1 Ge 0.000 0.000 0.917
Ge2 Ge 0.241 0.241 0.243
```

***

No. 2
A relaxed structure of AcPd3Pb, computed with PBE.

The calculation puts the energy of formation at -0.52 eV/atom. The energy above the most stable polymorph in this dataset comes out at 0.00 eV per formula unit.

```
data_AcPd3Pb
_symmetry_space_group_name_H-M 'I m m a'
_symmetry_Int_Tables_number 74
_symmetry_space_group_name_Hall '-I 2b 2'
_cell_length_a 5.736
_cell_length_b 8.913
_cell_length_c 9.228
_cell_angle_alpha 90.00
_cell_angle_beta 90.00
_cell_angle_gamma 90.00
loop_
_atom_site_label
_atom_site_type_symbol
_atom_site_fract_x
_atom_site_fract_y
_atom_site_fract_z
Ac1 Ac 0.000 0.250 0.025
Pd1 Pd 0.000 0.250 0.683
Pd2 Pd 0.250 0.018 0.250
Pb1 Pb 0.000 0.000 0.500
```

***

No. 3
A relaxed structure of TaCd2S2, computed with PBE.

The energy above the most stable polymorph in this dataset comes out at 1.72 eV per formula unit. As for the raw formation energy: 256 meV/atom.

```
data_TaCd2S2
_symmetry_space_group_name_H-M 'I 4/m m m'
_symmetry_Int_Tables_number 139
_symmetry_space_group_name_Hall '-I 4 2'
_cell_length_a 3.502
_cell_length_b 3.502
_cell_length_c 17.505
_cell_angle_alpha 90.00
_cell_angle_beta 90.00
_cell_angle_gamma 90.00
loop_
_atom_site_label
_atom_site_type_symbol
_atom_site_fract_x
_atom_site_fract_y
_atom_site_fract_z
Ta1 Ta 0.000 0.000 0.000
Cd1 Cd 0.000 0.500 0.250
S1 S 0.000 0.000 0.420
```

***

No. 4
A relaxed structure of NdPaS2O, computed with PBE.

As for the raw formation energy: -2313 meV/atom.

```
data_NdPaS2O
_symmetry_space_group_name_H-M 'P 4/n m m'
_symmetry_Int_Tables_number 129
_cell_length_a 3.919
_cell_length_b 3.919
_cell_length_c 13.635
_cell_angle_alpha 90.00
_cell_angle_beta 90.00
_cell_angle_gamma 90.00
loop_
_symmetry_equiv_pos_as_xyz
'x,y,z'
'-x,-y,-z'
'-y+1/2,x,z'
'y+1/2,-x,-z'
'-x+1/2,-y+1/2,z'
'x+1/2,y+1/2,-z'
'y,-x+1/2,z'
'-y,x+1/2,-z'
'x+1/2,-y,-z'
'-x+1/2,y,z'
'-y,-x,-z'
'y,x,z'
'-x,y+1/2,-z'
'x,-y+1/2,z'
'y+1/2,x+1/2,-z'
'-y+1/2,-x+1/2,z'
loop_
_atom_site_label
_atom_site_type_symbol
_atom_site_fract_x
_atom_site_fract_y
_atom_site_fract_z
Nd1 Nd 0.250 0.250 0.092
Pa1 Pa 0.250 0.250 0.605
S1 S 0.250 0.250 0.394
S2 S 0.250 0.250 0.795
O1 O 0.250 0.750 0.000
```

***

No. 5
A relaxed structure of UInPd6, computed with PBE.

The calculation puts the energy of formation at -0.53 eV/atom. The energy above the most stable polymorph in this dataset comes out at 0.00 eV per formula unit.

```
data_UInPd6
_symmetry_space_group_name_H-M 'P 4/m m m'
_symmetry_Int_Tables_number 123
_symmetry_space_group_name_Hall '-P 4 2'
_cell_length_a 4.099
_cell_length_b 4.099
_cell_length_c 8.120
_cell_angle_alpha 90.00
_cell_angle_beta 90.00
_cell_angle_gamma 90.00
loop_
_atom_site_label
_atom_site_type_symbol
_atom_site_fract_x
_atom_site_fract_y
_atom_site_fract_z
U1 U 0.000 0.000 0.000
In1 In 0.000 0.000 0.500
Pd1 Pd 0.000 0.500 0.247
Pd2 Pd 0.500 0.500 0.000
Pd3 Pd 0.500 0.500 0.500
```

***

No. 6
A relaxed structure of PrNdSmTm, computed with PBE.

The calculation puts the energy of formation at 0.12 eV/atom. The energy above the most stable polymorph in this dataset comes out at 0.40 eV per formula unit.

```
data_PrNdSmTm
_symmetry_space_group_name_H-M 'F -4 3 m'
_symmetry_Int_Tables_number 216
_symmetry_space_group_name_Hall 'F -4 2 3'
_cell_length_a 8.158
_cell_length_b 8.158
_cell_length_c 8.158
_cell_angle_alpha 90.00
_cell_angle_beta 90.00
_cell_angle_gamma 90.00
loop_
_atom_site_label
_atom_site_type_symbol
_atom_site_fract_x
_atom_site_fract_y
_atom_site_fract_z
Pr1 Pr 0.000 0.000 0.000
Nd1 Nd 0.000 0.000 0.500
Sm1 Sm 0.250 0.250 0.250
Tm1 Tm 0.250 0.250 0.750
```

***

No. 7
A relaxed structure of BaSnO3, computed with PBE.

As for the raw formation energy: -2168 meV/atom.

```
data_BaSnO3
_symmetry_space_group_name_H-M 'P m -3 m'
_symmetry_Int_Tables_number 221
_symmetry_space_group_name_Hall '-P 4 2 3'
_cell_length_a 4.188
_cell_length_b 4.188
_cell_length_c 4.188
_cell_angle_alpha 90.00
_cell_angle_beta 90.00
_cell_angle_gamma 90.00
loop_
_atom_site_label
_atom_site_type_symbol
_atom_site_fract_x
_atom_site_fract_y
_atom_site_fract_z
Ba1 Ba 0.000 0.000 0.000
Sn1 Sn 0.500 0.500 0.500
O1 O 0.000 0.500 0.500
```

***

No. 8
A relaxed structure of V3TePd, computed with PBE.

The energy above the most stable polymorph in this dataset comes out at 0.00 eV per formula unit. As for the raw formation energy: 959 meV/atom.

```
data_V3TePd
_symmetry_space_group_name_H-M 'P m -3 m'
_symmetry_Int_Tables_number 221
_symmetry_space_group_name_Hall '-P 4 2 3'
_cell_length_a 4.754
_cell_length_b 4.754
_cell_length_c 4.754
_cell_angle_alpha 90.00
_cell_angle_beta 90.00
_cell_angle_gamma 90.00
loop_
_atom_site_label
_atom_site_type_symbol
_atom_site_fract_x
_atom_site_fract_y
_atom_site_fract_z
V1 V 0.000 0.000 0.500
Te1 Te 0.500 0.500 0.500
Pd1 Pd 0.000 0.000 0.000
```

***

What did the eighth record say?
A relaxed structure of V3TePd, computed with PBE.

The energy above the most stable polymorph in this dataset comes out at 0.00 eV per formula unit. As for the raw formation energy: 959 meV/atom.

```
data_V3TePd
_symmetry_space_group_name_H-M 'P m -3 m'
_symmetry_Int_Tables_number 221
_symmetry_space_group_name_Hall '-P 4 2 3'
_cell_length_a 4.754
_cell_length_b 4.754
_cell_length_c 4.754
_cell_angle_alpha 90.00
_cell_angle_beta 90.00
_cell_angle_gamma 90.00
loop_
_atom_site_label
_atom_site_type_symbol
_atom_site_fract_x
_atom_site_fract_y
_atom_site_fract_z
V1 V 0.000 0.000 0.500
Te1 Te 0.500 0.500 0.500
Pd1 Pd 0.000 0.000 0.000
```